Entry 1:
DFT (GGA-PBE) results for Li2Ta2PdSe6 after structural relaxation.

Output
The density of states at the Fermi level comes out at 13.2 states/eV per cell. The formation energy from raw total energies is -0.72 eV/atom. For the total energy, the calculation gives -5.60 eV per atom. Its crystal system is monoclinic.

Unit cell a=6.154 b=11.424 c=6.839 alpha=90.00 beta=103.98 gamma=90.00
Space group C2/m (No. 12)
Asymmetric unit:
Li  0.000  0.175  0.000 x4
Ta  0.000  0.366  0.500 x4
Pd  0.000  0.000  0.500 x2
Se  0.228  0.184  0.719 x8
Se  0.249  0.500  0.762 x4

Entry 2:
DFT (GGA-PBE) results for SrAg3Ge after structural relaxation.

Output
The density of states at the Fermi level comes out at 1.9 states/eV per cell. For the total energy, the calculation gives -3.03 eV per atom. The value obtained for the calculated formation energy is -0.061 eV per atom. The distance to the lowest polymorph of the same formula comes out at 159 meV/atom. Its crystal system is cubic.

Unit cell a=5.002 b=5.002 c=5.002 alpha=90.00 beta=90.00 gamma=90.00
Space group Pm-3m (No. 221)
Asymmetric unit:
Sr  0.000  0.000  0.000 x1
Ag  0.000  0.500  0.500 x3
Ge  0.500  0.500  0.500 x1

Entry 3:
DFT (GGA-PBE) results for CaTmNiHg after structural relaxation.

Output
The density of states at the Fermi level comes out at 14.3 states/eV per cell. For the total energy, the calculation gives -3.41 eV per atom. The value obtained for the calculated formation energy is -0.274 eV per atom. Its crystal system is cubic.

Unit cell a=7.112 b=7.112 c=7.112 alpha=90.00 beta=90.00 gamma=90.00
Space group F-43m (No. 216)
Asymmetric unit:
Ca  0.000  0.000  0.000 x4
Tm  0.000  0.000  0.500 x4
Ni  0.250  0.250  0.250 x4
Hg  0.250  0.250  0.750 x4

Entry 4:
DFT (GGA-PBE) results for Dy2Tm3Ni4 after structural relaxation.

Output
The density of states at the Fermi level comes out at 11.8 states/eV per cell. For the total energy, the calculation gives -5.50 eV per atom. The value obtained for the calculated formation energy is -0.417 eV per atom. Its crystal system is monoclinic.

Unit cell a=7.280 b=7.207 c=7.447 alpha=90.00 beta=106.94 gamma=90.00
Space group P2_1/c (No. 14)
Asymmetric unit:
Dy  0.200  0.179  0.094 x4
Tm  0.237  0.671  0.251 x4
Tm  0.500  0.000  0.500 x2
Ni  0.089  0.530  0.881 x4
Ni  0.499  0.120  0.883 x4